DFT (GGA-PBE) results for Cs2SrAuI5 after structural relaxation.

CIF file:
```
data_Cs2SrAuI5
_chemical_formula_sum 'Cs8 Sr4 Au4 I20'
_symmetry_space_group_name_H-M 'C m c 21'
_symmetry_Int_Tables_number 36
_cell_length_a 4.8260
_cell_length_b 22.5381
_cell_length_c 15.9805
_cell_angle_alpha 90.00
_cell_angle_beta 90.00
_cell_angle_gamma 90.00
loop_
_symmetry_equiv_pos_as_xyz
'x,y,z'
'-x,-y,z+1/2'
'-x,y,z'
'x,-y,z+1/2'
'x+1/2,y+1/2,z'
'-x+1/2,-y+1/2,z+1/2'
'-x+1/2,y+1/2,z'
'x+1/2,-y+1/2,z+1/2'
loop_
_atom_site_label
_atom_site_type_symbol
_atom_site_fract_x
_atom_site_fract_y
_atom_site_fract_z
Cs1 Cs 0.0000 0.1235 0.0000
Cs2 Cs 0.0000 0.1256 0.3653
Sr1 Sr 0.0000 0.1971 0.6813
Au1 Au 0.0000 0.4623 0.0962
I1 I 0.0000 0.0471 0.6834
I2 I 0.0000 0.3010 0.0382
I3 I 0.0000 0.3049 0.3235
I4 I 0.0000 0.3416 0.6827
I5 I 0.0000 0.4988 0.9338
```

Calculated values
**E_form (uncorrected)**: -1.269 eV per atom
**Calculated total energy**: -2.8707 eV per atom
**Volume**: 1738.2 Å³/cell

DFT (GGA-PBE) results for CsTbAu2I6 after structural relaxation.

CIF file:
```
data_CsTbAu2I6
_chemical_formula_sum 'Cs1 Tb1 Au2 I6'
_symmetry_space_group_name_H-M 'P 1'
_symmetry_Int_Tables_number 1
_cell_length_a 7.8877
_cell_length_b 7.9790
_cell_length_c 10.1526
_cell_angle_alpha 67.59
_cell_angle_beta 68.32
_cell_angle_gamma 60.44
loop_
_symmetry_equiv_pos_as_xyz
'x,y,z'
loop_
_atom_site_label
_atom_site_type_symbol
_atom_site_fract_x
_atom_site_fract_y
_atom_site_fract_z
Cs1 Cs 0.0000 0.0000 0.0000
Tb1 Tb 0.4988 0.5029 0.4997
Au1 Au 0.2294 0.2217 0.3135
Au2 Au 0.7659 0.7825 0.6857
I1 I 0.1267 0.7440 0.6964
I2 I 0.2498 0.5579 0.3043
I3 I 0.4393 0.1284 0.7069
I4 I 0.5592 0.8772 0.2941
I5 I 0.7504 0.4447 0.6948
I6 I 0.8698 0.2624 0.3012
```

Calculated values
**E_form (uncorrected)**: -0.837 eV per atom
**Calculated total energy**: -2.9706 eV per atom
**Volume**: 500.6 Å³/cell

DFT (GGA-PBE) results for CsTcAuI6 after structural relaxation.

CIF file:
```
data_CsTcAuI6
_chemical_formula_sum 'Cs1 Tc1 Au1 I6'
_symmetry_space_group_name_H-M 'P 1'
_symmetry_Int_Tables_number 1
_cell_length_a 7.6838
_cell_length_b 8.0916
_cell_length_c 8.1332
_cell_angle_alpha 62.82
_cell_angle_beta 79.44
_cell_angle_gamma 79.75
loop_
_symmetry_equiv_pos_as_xyz
'x,y,z'
loop_
_atom_site_label
_atom_site_type_symbol
_atom_site_fract_x
_atom_site_fract_y
_atom_site_fract_z
Cs1 Cs 0.0000 0.0000 0.0000
Tc1 Tc 0.2502 0.3676 0.2858
Au1 Au 0.7474 0.1301 0.5414
I1 I 0.0582 0.4828 0.9998
I2 I 0.0808 0.0221 0.4757
I3 I 0.4195 0.2470 0.6147
I4 I 0.4346 0.6627 0.1164
I5 I 0.5016 0.1520 0.1685
I6 I 0.9892 0.5171 0.4695
```

Calculated values
**E_form (uncorrected)**: -0.385 eV per atom
**Calculated total energy**: -3.0295 eV per atom
**Volume**: 439.6 Å³/cell

Question: calculated total energy of number 1 (Cs2SrAuI5)?
Answer: -2.8707 eV per atom

Question: volume of number 3 (CsTcAuI6)?
Answer: 439.6 Å³/cell

Question: Among the records above, which one has the lowest calculated total energy?
Answer: CsTcAuI6

Question: Among the records above, which one has the highest volume?
Answer: Cs2SrAuI5